No. 1
Entry from the Alexandria database: a relaxed structure of Sr2HgHPt (PBE-GGA).

a b c (Å): 5.4948 5.4948 3.7703
angles (deg): 90.00 90.00 90.00
Closest atoms and distances in Å follow each position.
Fractional coordinates of all 5 atoms:
Sr  0.0000  0.5000  0.0000  2 H 2.75
Sr  0.5000  0.0000  0.0000  2 H 2.75
Hg  0.0000  0.0000  0.5000  8 Sr 3.33
H  0.5000  0.5000  0.0000  2 Pt 1.89
Pt  0.5000  0.5000  0.5000  2 H 1.89

Computed properties:
- Crystal system: tetragonal
- DFT total energy: -16.017 eV for the cell shown
- DOS at the Fermi energy: 2.17 states/eV/f.u.


No. 2
Entry from the Alexandria database: a relaxed structure of Pm3Sm4Y (PBE-GGA).

a b c (Å): 11.6856 7.3659 6.3662
angles (deg): 90.00 90.00 90.00
Closest atoms and distances in Å follow each position.
Fractional coordinates of all 16 atoms:
Pm  0.0000  0.1260  0.0000  4 Pm 3.61, 6 Sm 3.62-3.70, 2 Y 3.68-3.69
Pm  0.2502  0.1249  0.3338  6 Sm 3.61-3.69, 2 Y 3.61, 4 Pm 3.61-3.68
Pm  0.2498  0.8751  0.8338  6 Sm 3.61-3.69, 2 Y 3.61, 4 Pm 3.61-3.68
Pm  0.5000  0.8740  0.5000  4 Pm 3.61, 6 Sm 3.62-3.70, 2 Y 3.68-3.69
Pm  0.7498  0.1249  0.3338  6 Sm 3.61-3.69, 2 Y 3.61, 4 Pm 3.61-3.68
Pm  0.7502  0.8751  0.8338  6 Sm 3.61-3.69, 2 Y 3.61, 4 Pm 3.61-3.68
Sm  0.0000  0.3750  0.5008  6 Sm 3.60-3.68, 4 Pm 3.62-3.68, 2 Y 3.68
Sm  0.0000  0.6240  0.9989  6 Sm 3.60-3.68, 4 Pm 3.61-3.70, 2 Y 3.68
Sm  0.2487  0.6249  0.3321  6 Sm 3.60-3.68, 1 Y 3.60, 5 Pm 3.62-3.69
Sm  0.2513  0.3751  0.8321  6 Sm 3.60-3.68, 1 Y 3.60, 5 Pm 3.62-3.69
Sm  0.5000  0.3760  0.4989  6 Sm 3.60-3.68, 4 Pm 3.61-3.70, 2 Y 3.68
Sm  0.5000  0.6250  0.0008  6 Sm 3.60-3.68, 4 Pm 3.62-3.68, 2 Y 3.68
Sm  0.7487  0.3751  0.8321  6 Sm 3.60-3.68, 1 Y 3.60, 5 Pm 3.62-3.69
Sm  0.7513  0.6249  0.3321  6 Sm 3.60-3.68, 1 Y 3.60, 5 Pm 3.62-3.69
Y  0.0000  0.8748  0.4990  6 Sm 3.60-3.68, 6 Pm 3.61-3.69
Y  0.5000  0.1252  0.9990  6 Sm 3.60-3.68, 6 Pm 3.61-3.69

Computed properties:
- ΔE_f: 0.027 eV/atom
- Distance to the lowest polymorph of the same formula: 0.0 kJ/mol of atoms
- Crystal system: orthorhombic
- DFT total energy: -78.755 eV for the cell shown
- DOS at the Fermi energy: 14.21 states/eV/f.u.


No. 3
Entry from the Alexandria database: a relaxed structure of SmTmIrPt (PBE-GGA).

a b c (Å): 4.9154 4.9154 4.9154
angles (deg): 60.00 60.00 60.00
Closest atoms and distances in Å follow each position.
Fractional coordinates of all 4 atoms:
Sm  0.0000  0.0000  0.0000  4 Pt 3.01, 4 Ir 3.01
Tm  0.5000  0.5000  0.5000  4 Ir 3.01, 4 Pt 3.01
Ir  0.2500  0.2500  0.2500  4 Tm 3.01, 4 Sm 3.01
Pt  0.7500  0.7500  0.7500  4 Tm 3.01, 4 Sm 3.01

Computed properties:
- ΔE_f: -0.974 eV/atom
- Crystal system: cubic
- DFT total energy: -27.989 eV for the cell shown
- DOS at the Fermi energy: 1.75 states/eV/f.u.